Record 1
# LiHo4Ni2 | Alexandria | PBE | relaxed
# - SG = P1
# - DFT total energy (eV per atom) = -4.686
# - DFT formation energy (eV per formula unit) = -1.014
# - magnetic moment (μB/f.u.) = 0.00
# - Fermi-level density of states (states/eV per atom) = 0.973
data_LiHo4Ni2
_cell_length_a 7.001
_cell_length_b 6.989
_cell_length_c 8.914
_cell_angle_alpha 128.19
_cell_angle_beta 103.69
_cell_angle_gamma 84.90
_symmetry_space_group_name_H-M 'P 1'
_symmetry_Int_Tables_number 1
loop_
_symmetry_equiv_pos_as_xyz
'x,y,z'
loop_
_atom_site_label
_atom_site_fract_x
_atom_site_fract_y
_atom_site_fract_z
Ni1 0.059 0.518 0.938
Ni2 0.654 0.467 0.822
Ho1 0.392 0.142 0.754
Ho2 0.328 0.709 0.877
Li1 0.162 0.160 0.996
Ni3 0.581 0.120 0.064
Ho3 0.835 0.451 0.124
Ho4 0.473 0.243 0.392
Ho5 0.977 0.015 0.229
Li2 0.123 0.623 0.501
Ni4 0.640 0.832 0.186
Ho6 0.389 0.632 0.249
Ho7 0.780 0.745 0.757
Ho8 0.858 0.091 0.609

=====

Record 2
# Li3HoNi8 | Alexandria | PBE | relaxed
# - SG = R3m
# - DFT total energy (eV per atom) = -4.901
# - DFT formation energy (eV per formula unit) = -2.246
# - magnetic moment (μB/f.u.) = 0.00
# - Fermi-level density of states (states/eV per atom) = 0.869
data_Li3HoNi8
_cell_length_a 4.812
_cell_length_b 4.812
_cell_length_c 8.319
_cell_angle_alpha 73.19
_cell_angle_beta 73.19
_cell_angle_gamma 60.00
_symmetry_space_group_name_H-M 'P 1'
_symmetry_Int_Tables_number 1
loop_
_symmetry_equiv_pos_as_xyz
'x,y,z'
loop_
_atom_site_label
_atom_site_fract_x
_atom_site_fract_y
_atom_site_fract_z
Li1 0.374 0.374 0.877
Ni1 0.435 0.937 0.691
Ni2 0.941 0.439 0.181
Li2 0.490 0.490 0.529
Ni3 0.439 0.439 0.181
Ho1 0.875 0.875 0.374
Ni4 0.688 0.688 0.935
Ni5 0.439 0.941 0.181
Li3 0.006 0.006 0.983
Ni6 0.187 0.187 0.438
Ni7 0.937 0.937 0.691
Ni8 0.937 0.435 0.691

=====

Record 3
# Li2HoNi4 | Alexandria | PBE | relaxed
# - SG = Immm
# - DFT total energy (eV per atom) = -4.622
# - DFT formation energy (eV per formula unit) = -0.820
# - magnetic moment (μB/f.u.) = 0.08
# - Fermi-level density of states (states/eV per atom) = 1.364
data_Li2HoNi4
_cell_length_a 4.626
_cell_length_b 5.101
_cell_length_c 5.101
_cell_angle_alpha 78.37
_cell_angle_beta 63.07
_cell_angle_gamma 63.07
_symmetry_space_group_name_H-M 'P 1'
_symmetry_Int_Tables_number 1
loop_
_symmetry_equiv_pos_as_xyz
'x,y,z'
loop_
_atom_site_label
_atom_site_fract_x
_atom_site_fract_y
_atom_site_fract_z
Ni1 0.690 0.000 0.620
Ni2 0.310 0.380 0.000
Ni3 0.690 0.620 0.000
Li1 0.750 0.500 0.500
Ho1 0.000 0.000 0.000
Li2 0.250 0.500 0.500
Ni4 0.310 0.000 0.380

=====

Record 4
# LiHo2Ni | Alexandria | PBE | relaxed
# - SG = P4/mmm
# - DFT total energy (eV per atom) = -4.381
# - DFT formation energy (eV per formula unit) = -0.675
# - magnetic moment (μB/f.u.) = 0.00
# - Fermi-level density of states (states/eV per atom) = 0.828
data_LiHo2Ni
_cell_length_a 3.438
_cell_length_b 3.438
_cell_length_c 7.525
_cell_angle_alpha 90.00
_cell_angle_beta 90.00
_cell_angle_gamma 90.00
_symmetry_space_group_name_H-M 'P 1'
_symmetry_Int_Tables_number 1
loop_
_symmetry_equiv_pos_as_xyz
'x,y,z'
loop_
_atom_site_label
_atom_site_fract_x
_atom_site_fract_y
_atom_site_fract_z
Li1 0.500 0.500 0.500
Ho1 0.000 0.000 0.790
Ni1 0.500 0.500 0.000
Ho2 0.000 0.000 0.210

=====

Record 5
# LiHoNi10 | Alexandria | PBE | relaxed
# - SG = Pmmm
# - DFT total energy (eV per atom) = -5.462
# - DFT formation energy (eV per formula unit) = -1.244
# - magnetic moment (μB/f.u.) = 4.13
# - Fermi-level density of states (states/eV per atom) = 1.403
data_LiHoNi10
_cell_length_a 3.971
_cell_length_b 4.782
_cell_length_c 8.278
_cell_angle_alpha 90.00
_cell_angle_beta 90.00
_cell_angle_gamma 90.00
_symmetry_space_group_name_H-M 'P 1'
_symmetry_Int_Tables_number 1
loop_
_symmetry_equiv_pos_as_xyz
'x,y,z'
loop_
_atom_site_label
_atom_site_fract_x
_atom_site_fract_y
_atom_site_fract_z
Li1 0.000 0.500 0.500
Ni1 0.000 0.500 0.179
Ni2 0.500 0.500 0.000
Ni3 0.000 0.500 0.821
Ni4 0.500 0.751 0.749
Ni5 0.500 0.249 0.251
Ni6 0.500 0.000 0.500
Ni7 0.000 0.000 0.658
Ni8 0.500 0.249 0.749
Ni9 0.500 0.751 0.251
Ho1 0.000 0.000 0.000
Ni10 0.000 0.000 0.342